The following is a PBE-GGA calculation of crystalline La2RhAu2 at its relaxed geometry, from the Alexandria database.

Unit cell a=7.714 b=7.714 c=4.163 alpha=90.00 beta=90.00 gamma=90.00
Fractional positions:
La 0.178 0.322 0.000
La 0.322 0.822 0.000
La 0.678 0.178 0.000
La 0.822 0.678 0.000
Rh 0.000 0.000 0.500
Rh 0.500 0.500 0.500
Au 0.130 0.630 0.500
Au 0.370 0.130 0.500
Au 0.630 0.870 0.500
Au 0.870 0.370 0.500

Computed properties:
Distance to the lowest polymorph of the same formula, kJ/mol of formula units: 93
Formation enthalpy at 0 K, eV/atom: -0.60


The following is a PBE-GGA calculation of crystalline Dy2ErScSb4 at its relaxed geometry, from the Alexandria database.

Unit cell a=7.488 b=4.329 c=7.492 alpha=90.00 beta=109.48 gamma=90.00
Fractional positions:
Dy 0.000 0.000 0.000
Dy 0.000 0.500 0.500
Er 0.500 0.000 0.500
Sc 0.500 0.500 0.000
Sb 0.256 0.500 0.247
Sb 0.260 0.000 0.759
Sb 0.740 0.000 0.241
Sb 0.744 0.500 0.753

Computed properties:
Formation energy from raw total energies, eV/atom: -1.0647


The following is a PBE-GGA calculation of crystalline ReC at its relaxed geometry, from the Alexandria database.

Unit cell a=5.257 b=5.257 c=2.835 alpha=90.00 beta=90.00 gamma=120.00
Fractional positions:
Re 0.000 0.377 0.000
Re 0.377 0.000 0.000
Re 0.623 0.623 0.000
C 0.000 0.000 0.000
C 0.333 0.667 0.500
C 0.667 0.333 0.500

Computed properties:
Distance to the lowest polymorph of the same formula, kJ/mol of formula units: 63
Formation enthalpy at 0 K, eV/atom: 0.56


The following is a PBE-GGA calculation of crystalline Rb2TbRe2N6 at its relaxed geometry, from the Alexandria database.

Unit cell a=6.393 b=6.393 c=7.384 alpha=116.04 beta=116.04 gamma=59.89
Fractional positions:
Rb 0.224 0.224 0.177
Rb 0.776 0.776 0.823
Tb 0.000 0.000 0.500
Re 0.432 0.432 0.787
Re 0.568 0.568 0.213
N 0.250 0.250 0.710
N 0.253 0.723 0.720
N 0.277 0.747 0.280
N 0.723 0.253 0.720
N 0.747 0.277 0.280
N 0.750 0.750 0.290

Computed properties:
Formation energy from raw total energies, eV/atom: -0.3513


The following is a PBE-GGA calculation of crystalline PrNdSbN at its relaxed geometry, from the Alexandria database.

Unit cell a=4.731 b=4.731 c=9.306 alpha=90.00 beta=90.00 gamma=90.00
Fractional positions:
Pr 0.250 0.750 0.000
Pr 0.750 0.250 0.000
Nd 0.250 0.250 0.330
Nd 0.750 0.750 0.670
Sb 0.250 0.250 0.695
Sb 0.750 0.750 0.305
N 0.250 0.250 0.086
N 0.750 0.750 0.914

Computed properties:
Formation energy from raw total energies, eV/atom: -1.2260


The following is a PBE-GGA calculation of crystalline Ti2GaPb2 at its relaxed geometry, from the Alexandria database.

Unit cell a=8.566 b=8.566 c=3.117 alpha=90.00 beta=90.00 gamma=90.00
Fractional positions:
Ti 0.117 0.383 0.000
Ti 0.383 0.883 0.000
Ti 0.617 0.117 0.000
Ti 0.883 0.617 0.000
Ga 0.000 0.000 0.500
Ga 0.500 0.500 0.500
Pb 0.176 0.676 0.500
Pb 0.324 0.176 0.500
Pb 0.676 0.824 0.500
Pb 0.824 0.324 0.500

Computed properties:
Distance to the lowest polymorph of the same formula, kJ/mol of formula units: 127
Formation enthalpy at 0 K, eV/atom: 0.23


The following is a PBE-GGA calculation of crystalline BaAs3F at its relaxed geometry, from the Alexandria database.

Unit cell a=4.854 b=4.854 c=4.854 alpha=90.00 beta=90.00 gamma=90.00
Fractional positions:
Ba 0.000 0.000 0.000
As 0.000 0.500 0.500
As 0.500 0.000 0.500
As 0.500 0.500 0.000
F 0.500 0.500 0.500

Computed properties:
Formation energy from raw total energies, eV/atom: -0.3929
Distance to the lowest polymorph of the same formula, kJ/mol of formula units: 0


The following is a PBE-GGA calculation of crystalline Ho5Sb4Pb at its relaxed geometry, from the Alexandria database.

Unit cell a=7.621 b=7.621 c=10.794 alpha=118.48 beta=118.48 gamma=33.13
Fractional positions:
Ho 0.000 0.000 0.000
Ho 0.201 0.201 0.804
Ho 0.397 0.397 0.604
Ho 0.603 0.603 0.396
Ho 0.799 0.799 0.196
Sb 0.201 0.201 0.299
Sb 0.400 0.400 0.100
Sb 0.600 0.600 0.900
Sb 0.799 0.799 0.701
Pb 0.000 0.000 0.500

Computed properties:
Formation energy from raw total energies, eV/atom: -0.9495


The following is a PBE-GGA calculation of crystalline Sr2Cl at its relaxed geometry, from the Alexandria database.

Unit cell a=4.192 b=4.192 c=7.700 alpha=90.00 beta=90.00 gamma=120.00
Fractional positions:
Sr 0.333 0.667 0.219
Sr 0.667 0.333 0.781
Cl 0.000 0.000 0.500

Computed properties:
Formation energy from raw total energies, eV/atom: -1.0972
Distance to the lowest polymorph of the same formula, kJ/mol of formula units: 0


The following is a PBE-GGA calculation of crystalline Nd3Si6Pt2Rh at its relaxed geometry, from the Alexandria database.

Unit cell a=5.869 b=5.869 c=7.911 alpha=90.00 beta=90.00 gamma=120.00
Fractional positions:
Nd 0.000 0.000 0.000
Nd 0.333 0.667 0.663
Nd 0.667 0.333 0.337
Si 0.195 0.390 0.312
Si 0.195 0.805 0.312
Si 0.390 0.195 0.688
Si 0.610 0.805 0.312
Si 0.805 0.195 0.688
Si 0.805 0.610 0.688
Pt 0.333 0.667 0.055
Pt 0.667 0.333 0.945
Rh 0.000 0.000 0.500

Computed properties:
Formation energy from raw total energies, eV/atom: -0.5350


The following is a PBE-GGA calculation of crystalline PuTcB at its relaxed geometry, from the Alexandria database.

Unit cell a=3.770 b=3.770 c=3.945 alpha=90.00 beta=90.00 gamma=120.00
Fractional positions:
Pu 0.000 0.000 0.000
Tc 0.667 0.333 0.500
B 0.333 0.667 0.500

Computed properties:
Distance to the lowest polymorph of the same formula, kJ/mol of formula units: 14
Formation enthalpy at 0 K, eV/atom: -0.04


The following is a PBE-GGA calculation of crystalline Tm4SbOs at its relaxed geometry, from the Alexandria database.

Unit cell a=4.807 b=4.807 c=7.333 alpha=90.05 beta=90.05 gamma=90.00
Fractional positions:
Tm 0.000 0.500 0.219
Tm 0.000 0.500 0.781
Tm 0.500 0.000 0.219
Tm 0.500 0.000 0.781
Sb 0.000 0.000 0.500
Os 0.500 0.500 0.000

Computed properties:
Formation energy from raw total energies, eV/atom: -0.4517
Distance to the lowest polymorph of the same formula, kJ/mol of formula units: 39


The uncorrected energy results, record by record, are as follows: -53.5 -45.1 -61.6 -85.3 -53.8 -50.2 -19.7 -52.6 -8.5 -72.7 -31.5 -35.9 eV per cell.